Entry 1:
Density functional theory data (GGA-PBEsol) for a geometry-optimized CsSrTa6Cl18 structure.

Unit cell a=9.289 b=9.289 c=17.191 alpha=90.00 beta=90.00 gamma=120.00
Atoms (fractional coordinates):
Cs  0.333  0.667  0.250
Cs  0.667  0.333  0.750
Sr  0.333  0.667  0.750
Sr  0.667  0.333  0.250
Ta  0.027  0.193  0.569
Ta  0.027  0.834  0.931
Ta  0.166  0.193  0.931
Ta  0.166  0.973  0.569
Ta  0.193  0.027  0.069
Ta  0.193  0.166  0.431
Ta  0.807  0.834  0.569
Ta  0.807  0.973  0.931
Ta  0.834  0.027  0.431
Ta  0.834  0.807  0.069
Ta  0.973  0.166  0.069
Ta  0.973  0.807  0.431
Cl  0.031  0.225  0.338
Cl  0.031  0.806  0.162
Cl  0.056  0.430  0.656
Cl  0.056  0.625  0.844
Cl  0.161  0.419  0.000
Cl  0.161  0.742  0.500
Cl  0.194  0.225  0.162
Cl  0.194  0.969  0.338
Cl  0.225  0.031  0.838
Cl  0.225  0.194  0.662
Cl  0.258  0.419  0.500
Cl  0.258  0.839  0.000
Cl  0.375  0.430  0.844
Cl  0.375  0.944  0.656
Cl  0.419  0.161  0.500
Cl  0.419  0.258  0.000
Cl  0.430  0.056  0.156
Cl  0.430  0.375  0.344
Cl  0.570  0.625  0.656
Cl  0.570  0.944  0.844
Cl  0.581  0.742  0.000
Cl  0.581  0.839  0.500
Cl  0.625  0.056  0.344
Cl  0.625  0.570  0.156
Cl  0.742  0.161  0.000
Cl  0.742  0.581  0.500
Cl  0.775  0.806  0.338
Cl  0.775  0.969  0.162
Cl  0.806  0.031  0.662
Cl  0.806  0.775  0.838
Cl  0.839  0.258  0.500
Cl  0.839  0.581  0.000
Cl  0.944  0.375  0.156
Cl  0.944  0.570  0.344
Cl  0.969  0.194  0.838
Cl  0.969  0.775  0.662

**Energy relative to the elements, uncorrected**: -1.514 eV/atom

Entry 2:
Density functional theory data (GGA-PBEsol) for a geometry-optimized Cs3TbCl6 structure.

Unit cell a=8.230 b=8.230 c=8.230 alpha=60.00 beta=60.00 gamma=60.00
Atoms (fractional coordinates):
Cs  0.000  0.000  0.000
Cs  0.250  0.250  0.250
Cs  0.750  0.750  0.750
Tb  0.500  0.500  0.500
Cl  0.275  0.275  0.725
Cl  0.275  0.725  0.275
Cl  0.275  0.725  0.725
Cl  0.725  0.275  0.275
Cl  0.725  0.275  0.725
Cl  0.725  0.725  0.275

**Energy relative to the elements, uncorrected**: -2.102 eV/atom

Entry 3:
Density functional theory data (GGA-PBEsol) for a geometry-optimized Cs2TcCl6 structure.

Unit cell a=7.196 b=7.196 c=7.196 alpha=60.00 beta=60.00 gamma=60.00
Atoms (fractional coordinates):
Cs  0.250  0.250  0.250
Cs  0.750  0.750  0.750
Tc  0.000  0.000  0.000
Cl  0.230  0.230  0.770
Cl  0.230  0.770  0.230
Cl  0.230  0.770  0.770
Cl  0.770  0.230  0.230
Cl  0.770  0.230  0.770
Cl  0.770  0.770  0.230

**Energy relative to the elements, uncorrected**: -1.391 eV/atom

Entry 4:
Density functional theory data (GGA-PBEsol) for a geometry-optimized Cs2Te2Cl structure.

Unit cell a=10.506 b=10.506 c=10.506 alpha=155.83 beta=155.83 gamma=34.45
Atoms (fractional coordinates):
Cs  0.095  0.095  0.000
Cs  0.905  0.905  0.000
Te  0.250  0.750  0.500
Te  0.750  0.250  0.500
Cl  0.500  0.500  0.000

**Energy relative to the elements, uncorrected**: -1.145 eV/atom

Entry 5:
Density functional theory data (GGA-PBEsol) for a geometry-optimized Cs2TeCl structure.

Unit cell a=6.135 b=6.135 c=6.135 alpha=60.00 beta=60.00 gamma=60.00
Atoms (fractional coordinates):
Cs  0.250  0.250  0.250
Cs  0.750  0.750  0.750
Te  0.000  0.000  0.000
Cl  0.500  0.500  0.500

**Energy relative to the elements, uncorrected**: -1.083 eV/atom

Entry 6:
Density functional theory data (GGA-PBEsol) for a geometry-optimized Cs3TeCl structure.

Unit cell a=6.333 b=6.333 c=6.333 alpha=90.00 beta=90.00 gamma=90.00
Atoms (fractional coordinates):
Cs  0.000  0.000  0.500
Cs  0.000  0.500  0.000
Cs  0.500  0.000  0.000
Te  0.500  0.500  0.500
Cl  0.000  0.000  0.000

**Energy relative to the elements, uncorrected**: -1.243 eV/atom

no.,total magnetic moment (Bohr magnetons per cell),density (g/cm3)
1,0.0,5.0
2,0.0,3.2
3,3.0,3.6
4,0.0,4.8
5,1.0,4.4
6,0.0,3.7